DFT (PBE with a Hubbard U) results for a geometry-optimized CrO3 structure.

Cell lengths 5.1007, 6.5410, 9.3271 Å; angles 73.36, 90.00, 90.00 degrees
Last column: nearest neighbours and their distance in Å.
Atoms (fractional coordinates):
Cr (0.5244, 0.1622, 0.2109)  4 O 1.59-1.78
Cr (0.9756, 0.1622, 0.7109)  4 O 1.59-1.78
Cr (0.0244, 0.8378, 0.2891)  4 O 1.59-1.78
Cr (0.4756, 0.8378, 0.7891)  4 O 1.59-1.78
O (0.5870, 0.6777, 0.7038)  1 Cr 1.59
O (0.6463, 0.2928, 0.0546)  1 Cr 1.59
O (0.0870, 0.3223, 0.7962)  1 Cr 1.59
O (0.7683, 0.0011, 0.3248)  2 Cr 1.77-1.78
O (0.2683, 0.9989, 0.1752)  2 Cr 1.77-1.78
O (0.8537, 0.2928, 0.5546)  1 Cr 1.59
O (0.1463, 0.7072, 0.4454)  1 Cr 1.59
O (0.7317, 0.0011, 0.8248)  2 Cr 1.77-1.78
O (0.2317, 0.9989, 0.6752)  2 Cr 1.77-1.78
O (0.9130, 0.6777, 0.2038)  1 Cr 1.59
O (0.3537, 0.7072, 0.9454)  1 Cr 1.59
O (0.4130, 0.3223, 0.2962)  1 Cr 1.59

## Properties
excess energy over the best structure of this formula in the dataset = 22.1 meV per atom